Entry 1:
# GGA-PBE RbSnB, optimized geometry
# Spin magnetization ... 0.000 μB/cell
# Energy of formation ... 0.7558 eV per atom
# D(E_F) ... 0.000 states/eV/f.u.
data_RbSnB
_cell_length_a 5.4476
_cell_length_b 5.4476
_cell_length_c 14.1033
_cell_angle_alpha 90.00
_cell_angle_beta 90.00
_cell_angle_gamma 90.00
_symmetry_space_group_name_H-M 'P 1'
_symmetry_Int_Tables_number 1
loop_
_symmetry_equiv_pos_as_xyz
'x,y,z'
loop_
_atom_site_label
_atom_site_type_symbol
_atom_site_fract_x
_atom_site_fract_y
_atom_site_fract_z
_atom_site_occupancy
Rb1 Rb 0.0000 0.1860 0.0000 1
Rb2 Rb 0.0000 0.8140 0.5000 1
Rb3 Rb 0.1860 0.0000 0.7500 1
Rb4 Rb 0.8140 0.0000 0.2500 1
Sn1 Sn 0.3487 0.5000 0.2500 1
Sn2 Sn 0.5000 0.3487 0.5000 1
Sn3 Sn 0.5000 0.6513 0.0000 1
Sn4 Sn 0.6513 0.5000 0.7500 1
B1 B 0.2892 0.2892 0.3750 1
B2 B 0.2892 0.7108 0.1250 1
B3 B 0.7108 0.2892 0.6250 1
B4 B 0.7108 0.7108 0.8750 1


Entry 2:
# GGA-PBE LaMg2Co, optimized geometry
# Spin magnetization ... 0.000 μB/cell
# Energy of formation ... 0.2640 eV per atom
# D(E_F) ... 2.731 states/eV/f.u.
data_LaMg2Co
_cell_length_a 11.6101
_cell_length_b 11.6101
_cell_length_c 11.6101
_cell_angle_alpha 160.02
_cell_angle_beta 160.02
_cell_angle_gamma 28.40
_symmetry_space_group_name_H-M 'P 1'
_symmetry_Int_Tables_number 1
loop_
_symmetry_equiv_pos_as_xyz
'x,y,z'
loop_
_atom_site_label
_atom_site_type_symbol
_atom_site_fract_x
_atom_site_fract_y
_atom_site_fract_z
_atom_site_occupancy
La1 La 0.0000 0.0000 0.0000 1
La2 La 0.7500 0.2500 0.5000 1
Mg1 Mg 0.1480 0.6250 0.0230 1
Mg2 Mg 0.3750 0.3980 0.5230 1
Mg3 Mg 0.6020 0.1250 0.9770 1
Mg4 Mg 0.8750 0.8520 0.4770 1
Co1 Co 0.2500 0.7500 0.5000 1
Co2 Co 0.5000 0.5000 0.0000 1


Entry 3:
# GGA-PBE CaMoPd, optimized geometry
# Spin magnetization ... 0.000 μB/cell
# Energy of formation ... 0.0273 eV per atom
# Energy relative to the lowest polymorph listed for this composition ... 127 meV/atom
# D(E_F) ... 2.459 states/eV/f.u.
data_CaMoPd
_cell_length_a 2.9906
_cell_length_b 4.5783
_cell_length_c 8.7119
_cell_angle_alpha 81.02
_cell_angle_beta 84.12
_cell_angle_gamma 89.91
_symmetry_space_group_name_H-M 'P 1'
_symmetry_Int_Tables_number 1
loop_
_symmetry_equiv_pos_as_xyz
'x,y,z'
loop_
_atom_site_label
_atom_site_type_symbol
_atom_site_fract_x
_atom_site_fract_y
_atom_site_fract_z
_atom_site_occupancy
Ca1 Ca 0.1442 0.3466 0.2191 1
Ca2 Ca 0.8558 0.6534 0.7809 1
Mo1 Mo 0.3811 0.7724 0.4412 1
Mo2 Mo 0.6189 0.2276 0.5588 1
Pd1 Pd 0.2985 0.1235 0.8723 1
Pd2 Pd 0.7015 0.8765 0.1277 1


Entry 4:
# GGA-PBE In2PAu, optimized geometry
# Spin magnetization ... 0.000 μB/cell
# Energy of formation ... -0.0535 eV per atom
# D(E_F) ... 1.127 states/eV/f.u.
data_In2PAu
_cell_length_a 5.4603
_cell_length_b 5.3498
_cell_length_c 6.3082
_cell_angle_alpha 90.00
_cell_angle_beta 108.05
_cell_angle_gamma 90.00
_symmetry_space_group_name_H-M 'P 1'
_symmetry_Int_Tables_number 1
loop_
_symmetry_equiv_pos_as_xyz
'x,y,z'
loop_
_atom_site_label
_atom_site_type_symbol
_atom_site_fract_x
_atom_site_fract_y
_atom_site_fract_z
_atom_site_occupancy
In1 In 0.1615 0.2500 0.0845 1
In2 In 0.2418 0.7500 0.5611 1
In3 In 0.7582 0.2500 0.4389 1
In4 In 0.8385 0.7500 0.9155 1
P1 P 0.2822 0.2500 0.5401 1
P2 P 0.7178 0.7500 0.4599 1
Au1 Au 0.3835 0.7500 0.0492 1
Au2 Au 0.6165 0.2500 0.9508 1


Entry 5:
# GGA-PBE TiNbOsRu, optimized geometry
# Spin magnetization ... 0.000 μB/cell
# Energy of formation ... -0.4485 eV per atom
# Energy relative to the lowest polymorph listed for this composition ... 11 meV/atom
# D(E_F) ... 3.329 states/eV/f.u.
data_TiNbOsRu
_cell_length_a 4.4426
_cell_length_b 4.4426
_cell_length_c 4.4426
_cell_angle_alpha 60.00
_cell_angle_beta 60.00
_cell_angle_gamma 60.00
_symmetry_space_group_name_H-M 'P 1'
_symmetry_Int_Tables_number 1
loop_
_symmetry_equiv_pos_as_xyz
'x,y,z'
loop_
_atom_site_label
_atom_site_type_symbol
_atom_site_fract_x
_atom_site_fract_y
_atom_site_fract_z
_atom_site_occupancy
Ti1 Ti 0.0000 0.0000 0.0000 1
Nb1 Nb 0.5000 0.5000 0.5000 1
Os1 Os 0.7500 0.7500 0.7500 1
Ru1 Ru 0.2500 0.2500 0.2500 1


Entry 6:
# GGA-PBE TiGa2TcBr, optimized geometry
# Spin magnetization ... 2.275 μB/cell
# Formation energy from raw total energies ... 6.25 eV per formula unit
# D(E_F) ... 4.690 states/eV/f.u.
data_TiGa2TcBr
_cell_length_a 5.0318
_cell_length_b 5.0318
_cell_length_c 4.6157
_cell_angle_alpha 90.00
_cell_angle_beta 90.00
_cell_angle_gamma 90.00
_symmetry_space_group_name_H-M 'P 1'
_symmetry_Int_Tables_number 1
loop_
_symmetry_equiv_pos_as_xyz
'x,y,z'
loop_
_atom_site_label
_atom_site_type_symbol
_atom_site_fract_x
_atom_site_fract_y
_atom_site_fract_z
_atom_site_occupancy
Ti1 Ti 0.0000 0.0000 0.0000 1
Ga1 Ga 0.0000 0.5000 0.5000 1
Ga2 Ga 0.5000 0.0000 0.5000 1
Tc1 Tc 0.5000 0.5000 0.0000 1
Br1 Br 0.0000 0.0000 0.5000 1


Entry 7:
# GGA-PBE VTcNi2, optimized geometry
# Spin magnetization ... 0.000 μB/cell
# Energy of formation ... 0.3435 eV per atom
# Energy relative to the lowest polymorph listed for this composition ... 494 meV/atom
# D(E_F) ... 3.859 states/eV/f.u.
data_VTcNi2
_cell_length_a 5.2457
_cell_length_b 5.2457
_cell_length_c 5.2457
_cell_angle_alpha 102.52
_cell_angle_beta 102.52
_cell_angle_gamma 124.50
_symmetry_space_group_name_H-M 'P 1'
_symmetry_Int_Tables_number 1
loop_
_symmetry_equiv_pos_as_xyz
'x,y,z'
loop_
_atom_site_label
_atom_site_type_symbol
_atom_site_fract_x
_atom_site_fract_y
_atom_site_fract_z
_atom_site_occupancy
V1 V 0.0000 0.0000 0.0000 1
V2 V 0.7500 0.2500 0.5000 1
Tc1 Tc 0.2500 0.7500 0.5000 1
Tc2 Tc 0.5000 0.5000 0.0000 1
Ni1 Ni 0.1099 0.6250 0.9849 1
Ni2 Ni 0.3750 0.3599 0.4849 1
Ni3 Ni 0.6401 0.1250 0.0151 1
Ni4 Ni 0.8750 0.8901 0.5151 1


Entry 8:
# GGA-PBE Zr2Mn3, optimized geometry
# Spin magnetization ... 0.975 μB/cell
# Energy of formation ... 0.1749 eV per atom
# Energy relative to the lowest polymorph listed for this composition ... 242 meV/atom
# D(E_F) ... 5.152 states/eV/f.u.
data_Zr2Mn3
_cell_length_a 3.8273
_cell_length_b 3.8273
_cell_length_c 6.5823
_cell_angle_alpha 90.00
_cell_angle_beta 90.00
_cell_angle_gamma 120.00
_symmetry_space_group_name_H-M 'P 1'
_symmetry_Int_Tables_number 1
loop_
_symmetry_equiv_pos_as_xyz
'x,y,z'
loop_
_atom_site_label
_atom_site_type_symbol
_atom_site_fract_x
_atom_site_fract_y
_atom_site_fract_z
_atom_site_occupancy
Zr1 Zr 0.3333 0.6667 0.1722 1
Zr2 Zr 0.6667 0.3333 0.8278 1
Mn1 Mn 0.0000 0.0000 0.5000 1
Mn2 Mn 0.3333 0.6667 0.6129 1
Mn3 Mn 0.6667 0.3333 0.3871 1


Record-wise E values, in eV/atom: -3.127, -3.542, -5.981, -3.595, -10.066, -3.947, -7.418, -8.746